Entry a
Material: TcAu2I
Method: DFT, PBE
State: optimized geometry

Cell and atoms, written as CIF:
```
data_TcAu2I
_cell_length_a 7.0088
_cell_length_b 7.0088
_cell_length_c 7.0088
_cell_angle_alpha 90.00
_cell_angle_beta 90.00
_cell_angle_gamma 90.00
_space_group_name_H-M_alt 'F m -3 m'
_space_group_IT_number 225
_space_group_name_Hall '-F 4 2 3'
loop_
_atom_site_label
_atom_site_type_symbol
_atom_site_fract_x
_atom_site_fract_y
_atom_site_fract_z
Tc1 Tc 0.0000 0.0000 0.0000
Au1 Au 0.2500 0.2500 0.2500
I1 I 0.0000 0.0000 0.5000
```

## Properties
Volume in Å³ per cell: 344
Crystal system: cubic

***

Entry b
Material: TcAu2I
Method: DFT, PBE
State: optimized geometry

Cell and atoms, written as CIF:
```
data_TcAu2I
_cell_length_a 8.0780
_cell_length_b 8.0780
_cell_length_c 5.5009
_cell_angle_alpha 90.00
_cell_angle_beta 90.00
_cell_angle_gamma 90.00
_space_group_name_H-M_alt 'I -4 2 d'
_space_group_IT_number 122
_space_group_name_Hall 'I -4 2bw'
loop_
_atom_site_label
_atom_site_type_symbol
_atom_site_fract_x
_atom_site_fract_y
_atom_site_fract_z
Tc1 Tc 0.0000 0.0000 0.0000
Au1 Au 0.2229 0.2500 0.1250
I1 I 0.0000 0.0000 0.5000
```

## Properties
Volume in Å³ per cell: 359
Crystal system: tetragonal

***

Most stable: entry b